Entry 1:
A relaxed TiTc2NiH crystal, computed with PBE.

POSCAR file:
```
TiTc2NiH
1.0
3.9787 0.0000 0.0000
0.0000 3.9787 0.0000
0.0000 0.0000 3.6334
Ti Tc Ni H
1 2 1 1
direct
0.0000 0.0000 0.0000
0.0000 0.5000 0.5000
0.5000 0.0000 0.5000
0.5000 0.5000 0.0000
0.5000 0.5000 0.5000
```

Results
SG: P4/mmm, No. 123
E above lowest polymorph in meV/atom: 0.0
Total DFT energy (no corrections) in eV per atom: -7.71

Entry 2:
A relaxed Ti2TcNiH crystal, computed with PBE.

POSCAR file:
```
Ti2TcNiH
1.0
4.1508 0.0000 0.0000
0.0000 4.1508 0.0000
0.0000 0.0000 3.5171
Ti Tc Ni H
2 1 1 1
direct
0.0000 0.5000 0.0000
0.5000 0.0000 0.0000
0.0000 0.0000 0.5000
0.5000 0.5000 0.5000
0.0000 0.0000 0.0000
```

Results
SG: P4/mmm, No. 123
E above lowest polymorph in meV/atom: 133.1
Total DFT energy (no corrections) in eV per atom: -7.36

Entry 3:
A relaxed Ti2TcNiH crystal, computed with PBE.

POSCAR file:
```
Ti2TcNiH
1.0
4.2482 0.0000 0.0000
0.0000 4.2482 0.0000
0.0000 0.0000 3.2788
Ti Tc Ni H
2 1 1 1
direct
0.0000 0.5000 0.0000
0.5000 0.0000 0.0000
0.0000 0.0000 0.5000
0.5000 0.5000 0.5000
0.5000 0.5000 0.0000
```

Results
SG: P4/mmm, No. 123
E above lowest polymorph in meV/atom: 0.0
Total DFT energy (no corrections) in eV per atom: -7.50

Entry 4:
A relaxed Tl2TcNiH crystal, computed with PBE.

POSCAR file:
```
Tl2TcNiH
1.0
4.6900 0.0000 0.0000
0.0000 4.6900 0.0000
0.0000 0.0000 3.5039
Tl Tc Ni H
2 1 1 1
direct
0.0000 0.5000 0.0000
0.5000 0.0000 0.0000
0.0000 0.0000 0.5000
0.5000 0.5000 0.5000
0.0000 0.0000 0.0000
```

Results
SG: P4/mmm, No. 123
Total DFT energy (no corrections) in eV per atom: -4.24

Entry 5:
A relaxed VTc2NiH crystal, computed with PBE.

POSCAR file:
```
VTc2NiH
1.0
3.9593 0.0000 0.0000
0.0000 3.9593 0.0000
0.0000 0.0000 3.5234
V Tc Ni H
1 2 1 1
direct
0.0000 0.0000 0.0000
0.0000 0.5000 0.5000
0.5000 0.0000 0.5000
0.5000 0.5000 0.0000
0.5000 0.5000 0.5000
```

Results
SG: P4/mmm, No. 123
E above lowest polymorph in meV/atom: 0.0
Total DFT energy (no corrections) in eV per atom: -7.88

Entry 6:
A relaxed VTc2NiH crystal, computed with PBE.

POSCAR file:
```
VTc2NiH
1.0
3.8441 0.0000 0.0000
0.0000 3.8441 0.0000
0.0000 0.0000 3.7618
V Tc Ni H
1 2 1 1
direct
0.0000 0.0000 0.0000
0.0000 0.5000 0.5000
0.5000 0.0000 0.5000
0.5000 0.5000 0.0000
0.0000 0.0000 0.5000
```

Results
SG: P4/mmm, No. 123
E above lowest polymorph in meV/atom: 19.0
Total DFT energy (no corrections) in eV per atom: -7.86

Entry 7:
A relaxed TcNi2HW crystal, computed with PBE.

POSCAR file:
```
TcNi2HW
1.0
3.6791 0.0000 0.0000
0.0000 3.6791 0.0000
0.0000 0.0000 4.0257
Tc Ni H W
1 2 1 1
direct
0.0000 0.0000 0.0000
0.0000 0.5000 0.5000
0.5000 0.0000 0.5000
0.5000 0.5000 0.5000
0.5000 0.5000 0.0000
```

Results
SG: P4/mmm, No. 123
E above lowest polymorph in meV/atom: 54.3
Total DFT energy (no corrections) in eV per atom: -7.59

Entry 8:
A relaxed Tc2NiHW crystal, computed with PBE.

POSCAR file:
```
Tc2NiHW
1.0
3.8688 0.0000 0.0000
0.0000 3.8688 0.0000
0.0000 0.0000 3.9197
Tc Ni H W
2 1 1 1
direct
0.0000 0.5000 0.0000
0.5000 0.0000 0.0000
0.0000 0.0000 0.5000
0.5000 0.5000 0.0000
0.5000 0.5000 0.5000
```

Results
SG: P4/mmm, No. 123
E above lowest polymorph in meV/atom: 98.8
Total DFT energy (no corrections) in eV per atom: -8.48

Entry 9:
A relaxed Tc2NiHW crystal, computed with PBE.

POSCAR file:
```
Tc2NiHW
1.0
3.9805 0.0000 0.0000
0.0000 3.9805 0.0000
0.0000 0.0000 3.6591
Tc Ni H W
2 1 1 1
direct
0.0000 0.5000 0.0000
0.5000 0.0000 0.0000
0.0000 0.0000 0.5000
0.0000 0.0000 0.0000
0.5000 0.5000 0.5000
```

Results
SG: P4/mmm, No. 123
E above lowest polymorph in meV/atom: 0.0
Total DFT energy (no corrections) in eV per atom: -8.58

Entry 10:
A relaxed TcNi2HW crystal, computed with PBE.

POSCAR file:
```
TcNi2HW
1.0
3.6974 0.0000 0.0000
0.0000 3.6974 0.0000
0.0000 0.0000 3.9608
Tc Ni H W
1 2 1 1
direct
0.0000 0.0000 0.0000
0.0000 0.5000 0.5000
0.5000 0.0000 0.5000
0.0000 0.0000 0.5000
0.5000 0.5000 0.0000
```

Results
SG: P4/mmm, No. 123
E above lowest polymorph in meV/atom: 0.0
Total DFT energy (no corrections) in eV per atom: -7.65

Entry 11:
A relaxed ZnTcNi2H crystal, computed with PBE.

POSCAR file:
```
ZnTcNi2H
1.0
3.6971 0.0000 0.0000
0.0000 3.6971 0.0000
0.0000 0.0000 3.8726
Zn Tc Ni H
1 1 2 1
direct
0.0000 0.0000 0.0000
0.5000 0.5000 0.0000
0.0000 0.5000 0.5000
0.5000 0.0000 0.5000
0.5000 0.5000 0.5000
```

Results
SG: P4/mmm, No. 123
Total DFT energy (no corrections) in eV per atom: -5.25

Entry 12:
A relaxed Zr2TcNiH crystal, computed with PBE.

POSCAR file:
```
Zr2TcNiH
1.0
4.5405 0.0000 0.0000
0.0000 4.5405 0.0000
0.0000 0.0000 3.5338
Zr Tc Ni H
2 1 1 1
direct
0.0000 0.5000 0.0000
0.5000 0.0000 0.0000
0.0000 0.0000 0.5000
0.5000 0.5000 0.5000
0.0000 0.0000 0.0000
```

Results
SG: P4/mmm, No. 123
E above lowest polymorph in meV/atom: 107.2
Total DFT energy (no corrections) in eV per atom: -7.61